Record 1
A plane-wave DFT calculation with PBE was carried out for a relaxed BeCoSb2I crystal.

POSCAR file:
```
BeCoSb2I
1.0
5.035 0.000 0.000
0.000 5.035 0.000
0.000 0.000 4.369
Be Co Sb I
1 1 2 1
Direct
0.000 0.000 0.000 Be
0.000 0.000 0.500 Co
0.000 0.500 0.500 Sb
0.500 0.000 0.500 Sb
0.500 0.500 0.000 I
```

Properties
For the density of states at the Fermi level, the calculation gives 2.41 states/eV per cell. The calculation puts the electronic total energy at -3.747 eV/atom. The uncorrected formation energy comes out at 36 kJ/mol of atoms.

Record 2
A plane-wave DFT calculation with PBE was carried out for a relaxed BeCoSb2I crystal.

POSCAR file:
```
BeCoSb2I
1.0
4.833 0.000 0.000
0.000 4.833 0.000
0.000 0.000 5.587
Be Co Sb I
1 1 2 1
Direct
0.000 0.000 0.000 Be
0.500 0.500 0.500 Co
0.000 0.500 0.500 Sb
0.500 0.000 0.500 Sb
0.500 0.500 0.000 I
```

Properties
For the density of states at the Fermi level, the calculation gives 4.95 states/eV per cell. The calculation puts the electronic total energy at -3.294 eV/atom. The uncorrected formation energy comes out at 80 kJ/mol of atoms.

Record 3
A plane-wave DFT calculation with PBE was carried out for a relaxed BeCoTe2I crystal.

POSCAR file:
```
BeCoTe2I
1.0
4.968 0.000 0.000
0.000 4.968 0.000
0.000 0.000 5.213
Be Co Te I
1 1 2 1
Direct
0.000 0.000 0.000 Be
0.500 0.500 0.500 Co
0.000 0.500 0.000 Te
0.500 0.000 0.000 Te
0.000 0.000 0.500 I
```

Properties
For the density of states at the Fermi level, the calculation gives 6.76 states/eV per cell. The calculation puts the electronic total energy at -2.855 eV/atom. The uncorrected formation energy comes out at 85 kJ/mol of atoms.

| no. | energy relative to the lowest polymorph listed for this composition (meV/atom) |
| --- | --- |
| 1 | 0 |
| 2 | 453 |
| 3 | 43 |